(1)
A relaxed CeAlAgS4 crystal, computed with GGA-PBE.

Results
Formation energy without anion corrections ... -7.72 eV per formula unit
Crystal system ... orthorhombic

Geometry as CIF:
```
data_CeAlAgS4
_chemical_formula_sum 'Ce2 Al2 Ag2 S8'
_cell_length_a 7.6519
_cell_length_b 7.6519
_cell_length_c 7.6519
_cell_angle_alpha 123.27
_cell_angle_beta 116.38
_cell_angle_gamma 90.41
_symmetry_space_group_name_H-M 'P 1'
_symmetry_Int_Tables_number 1
loop_
_symmetry_equiv_pos_as_xyz
'x,y,z'
loop_
_atom_site_label
_atom_site_fract_x
_atom_site_fract_y
_atom_site_fract_z
_atom_site_occupancy
Ce1 0.0000 0.0000 0.0000 1
Ce2 0.5000 0.0000 0.5000 1
Al1 0.5000 0.0000 0.0000 1
Al2 0.5000 0.5000 0.5000 1
Ag1 0.0968 0.3468 0.7500 1
Ag2 0.9032 0.6532 0.2500 1
S1 0.2681 0.2651 0.4970 1
S2 0.2681 0.7712 0.0030 1
S3 0.2930 0.7469 0.5461 1
S4 0.2991 0.2531 0.0461 1
S5 0.7009 0.7469 0.9539 1
S6 0.7070 0.2531 0.4539 1
S7 0.7319 0.2288 0.9970 1
S8 0.7319 0.7349 0.5030 1
```

=====

(2)
A relaxed BeRhCl2 crystal, computed with GGA-PBE.

Results
Energy above the most stable polymorph in this dataset ... 18.0 kJ per mole of atoms
Formation energy without anion corrections ... -0.79 eV per formula unit
Crystal system ... trigonal

Geometry as CIF:
```
data_BeRhCl2
_chemical_formula_sum 'Be3 Rh3 Cl6'
_cell_length_a 3.1288
_cell_length_b 3.1288
_cell_length_c 21.6730
_cell_angle_alpha 90.00
_cell_angle_beta 90.00
_cell_angle_gamma 120.00
_symmetry_space_group_name_H-M 'P 1'
_symmetry_Int_Tables_number 1
loop_
_symmetry_equiv_pos_as_xyz
'x,y,z'
loop_
_atom_site_label
_atom_site_fract_x
_atom_site_fract_y
_atom_site_fract_z
_atom_site_occupancy
Be1 0.0000 0.0000 0.0000 1
Be2 0.3333 0.6667 0.6667 1
Be3 0.6667 0.3333 0.3333 1
Rh1 0.0000 0.0000 0.5000 1
Rh2 0.3333 0.6667 0.1667 1
Rh3 0.6667 0.3333 0.8333 1
Cl1 0.0000 0.0000 0.3925 1
Cl2 0.0000 0.0000 0.6075 1
Cl3 0.3333 0.6667 0.0591 1
Cl4 0.3333 0.6667 0.2742 1
Cl5 0.6667 0.3333 0.7258 1
Cl6 0.6667 0.3333 0.9409 1
```

=====

(3)
A relaxed Nd6SnP2S3 crystal, computed with GGA-PBE.

Results
Formation energy without anion corrections ... -19.77 eV per formula unit
Crystal system ... monoclinic

Geometry as CIF:
```
data_Nd6SnP2S3
_chemical_formula_sum 'Nd6 Sn1 P2 S3'
_cell_length_a 9.3683
_cell_length_b 9.3683
_cell_length_c 8.4127
_cell_angle_alpha 102.65
_cell_angle_beta 102.65
_cell_angle_gamma 25.76
_symmetry_space_group_name_H-M 'P 1'
_symmetry_Int_Tables_number 1
loop_
_symmetry_equiv_pos_as_xyz
'x,y,z'
loop_
_atom_site_label
_atom_site_fract_x
_atom_site_fract_y
_atom_site_fract_z
_atom_site_occupancy
Nd1 0.0023 0.0023 0.2667 1
Nd2 0.3276 0.3276 0.9064 1
Nd3 0.3305 0.3305 0.4213 1
Nd4 0.6695 0.6695 0.5787 1
Nd5 0.6724 0.6724 0.0936 1
Nd6 0.9977 0.9977 0.7333 1
Sn1 0.5000 0.5000 0.0000 1
P1 0.1681 0.1681 0.3356 1
P2 0.8319 0.8319 0.6644 1
S1 0.1658 0.1658 0.8316 1
S2 0.5000 0.5000 0.5000 1
S3 0.8342 0.8342 0.1684 1
```

=====

(4)
A relaxed La3TbNi crystal, computed with GGA-PBE.

Results
Energy above the most stable polymorph in this dataset ... 15.6 kJ per mole of atoms
Crystal system ... cubic

Geometry as CIF:
```
data_La3TbNi
_chemical_formula_sum 'La3 Tb1 Ni1'
_cell_length_a 5.5454
_cell_length_b 5.5454
_cell_length_c 5.5454
_cell_angle_alpha 90.00
_cell_angle_beta 90.00
_cell_angle_gamma 90.00
_symmetry_space_group_name_H-M 'P 1'
_symmetry_Int_Tables_number 1
loop_
_symmetry_equiv_pos_as_xyz
'x,y,z'
loop_
_atom_site_label
_atom_site_fract_x
_atom_site_fract_y
_atom_site_fract_z
_atom_site_occupancy
La1 0.0000 0.0000 0.5000 1
La2 0.0000 0.5000 0.0000 1
La3 0.5000 0.0000 0.0000 1
Tb1 0.5000 0.5000 0.5000 1
Ni1 0.0000 0.0000 0.0000 1
```

=====

(5)
A relaxed In2SbI crystal, computed with GGA-PBE.

Results
Energy above the most stable polymorph in this dataset ... 14.6 kJ per mole of atoms
Formation energy without anion corrections ... 0.01 eV per formula unit
Crystal system ... cubic

Geometry as CIF:
```
data_In2SbI
_chemical_formula_sum 'In8 Sb4 I4'
_cell_length_a 7.8778
_cell_length_b 7.8778
_cell_length_c 7.8778
_cell_angle_alpha 90.00
_cell_angle_beta 90.00
_cell_angle_gamma 90.00
_symmetry_space_group_name_H-M 'P 1'
_symmetry_Int_Tables_number 1
loop_
_symmetry_equiv_pos_as_xyz
'x,y,z'
loop_
_atom_site_label
_atom_site_fract_x
_atom_site_fract_y
_atom_site_fract_z
_atom_site_occupancy
In1 0.2500 0.2500 0.2500 1
In2 0.2500 0.2500 0.7500 1
In3 0.2500 0.7500 0.2500 1
In4 0.2500 0.7500 0.7500 1
In5 0.7500 0.2500 0.2500 1
In6 0.7500 0.2500 0.7500 1
In7 0.7500 0.7500 0.2500 1
In8 0.7500 0.7500 0.7500 1
Sb1 0.0000 0.0000 0.0000 1
Sb2 0.0000 0.5000 0.5000 1
Sb3 0.5000 0.0000 0.5000 1
Sb4 0.5000 0.5000 0.0000 1
I1 0.0000 0.0000 0.5000 1
I2 0.0000 0.5000 0.0000 1
I3 0.5000 0.0000 0.0000 1
I4 0.5000 0.5000 0.5000 1
```

=====

(6)
A relaxed Be4AgCl crystal, computed with GGA-PBE.

Results
Formation energy without anion corrections ... 3.48 eV per formula unit
Crystal system ... cubic

Geometry as CIF:
```
data_Be4AgCl
_chemical_formula_sum 'Be4 Ag1 Cl1'
_cell_length_a 4.7012
_cell_length_b 4.7012
_cell_length_c 4.7012
_cell_angle_alpha 60.00
_cell_angle_beta 60.00
_cell_angle_gamma 60.00
_symmetry_space_group_name_H-M 'P 1'
_symmetry_Int_Tables_number 1
loop_
_symmetry_equiv_pos_as_xyz
'x,y,z'
loop_
_atom_site_label
_atom_site_fract_x
_atom_site_fract_y
_atom_site_fract_z
_atom_site_occupancy
Be1 0.1227 0.1227 0.1227 1
Be2 0.1227 0.1227 0.6318 1
Be3 0.1227 0.6318 0.1227 1
Be4 0.6318 0.1227 0.1227 1
Ag1 0.7500 0.7500 0.7500 1
Cl1 0.5000 0.5000 0.5000 1
```

=====

(7)
A relaxed CdTcPb2 crystal, computed with GGA-PBE.

Results
Crystal system ... tetragonal
Electronic total energy ... -4.220 eV per atom

Geometry as CIF:
```
data_CdTcPb2
_chemical_formula_sum 'Cd1 Tc1 Pb2'
_cell_length_a 3.2750
_cell_length_b 3.2750
_cell_length_c 9.1879
_cell_angle_alpha 90.00
_cell_angle_beta 90.00
_cell_angle_gamma 90.00
_symmetry_space_group_name_H-M 'P 1'
_symmetry_Int_Tables_number 1
loop_
_symmetry_equiv_pos_as_xyz
'x,y,z'
loop_
_atom_site_label
_atom_site_fract_x
_atom_site_fract_y
_atom_site_fract_z
_atom_site_occupancy
Cd1 0.0000 0.0000 0.0000 1
Tc1 0.0000 0.0000 0.5000 1
Pb1 0.5000 0.5000 0.3026 1
Pb2 0.5000 0.5000 0.6974 1
```

=====

(8)
A relaxed TaGaSiOsPb crystal, computed with GGA-PBE.

Results
Energy above the most stable polymorph in this dataset ... 23.7 kJ per mole of atoms
Formation energy without anion corrections ... 1.13 eV per formula unit
Crystal system ... triclinic

Geometry as CIF:
```
data_TaGaSiOsPb
_chemical_formula_sum 'Ta1 Ga1 Si1 Os1 Pb1'
_cell_length_a 3.0602
_cell_length_b 4.9650
_cell_length_c 7.4111
_cell_angle_alpha 71.52
_cell_angle_beta 78.17
_cell_angle_gamma 72.06
_symmetry_space_group_name_H-M 'P 1'
_symmetry_Int_Tables_number 1
loop_
_symmetry_equiv_pos_as_xyz
'x,y,z'
loop_
_atom_site_label
_atom_site_fract_x
_atom_site_fract_y
_atom_site_fract_z
_atom_site_occupancy
Ta1 0.0000 0.0000 0.0000 1
Ga1 0.0530 0.5544 0.3413 1
Si1 0.2762 0.4468 0.0015 1
Os1 0.3401 0.0168 0.3053 1
Pb1 0.6849 0.9907 0.6432 1
```

=====

Q: Which theoretical density values were calculated for the entries above? A: 4.2; 5.0; 6.1; 6.2; 6.5; 4.1; 10.5; 11.1, in g cm⁻³.